Entry 1:
5
Lattice="4.751 0.000 0.000 0.000 4.751 0.000 0.000 0.000 4.822" Properties=species:S:1:pos:R:3 comment="PBE YHo2TlO, relaxed" m_tot_mub_per_fu=0.000 e_form_raw_ev_per_atom=-1.351 pbc="T T T"
Y 0.000 0.000 0.000
Ho 0.000 2.375 2.411
Ho 2.375 0.000 2.411
Tl 2.375 2.375 0.000
O 0.000 0.000 2.411

***

Entry 2:
4
Lattice="1.941 -4.257 0.000 1.941 4.257 0.000 0.000 0.000 3.930" Properties=species:S:1:pos:R:3 comment="PBE Tc, relaxed" polymorph_energy_kcal_per_mol_atoms=13.48 ef_mev_per_atom=584 m_tot_mub_per_fu=0.000 pbc="T T T"
Tc 1.941 3.058 3.782
Tc 1.941 1.199 1.817
Tc 1.941 -1.199 2.112
Tc 1.941 -3.058 0.147

***

Entry 3:
9
Lattice="9.691 0.000 0.000 -4.846 8.393 0.000 0.000 0.000 3.347" Properties=species:S:1:pos:R:3 comment="PBE InPb2, relaxed" ef_mev_per_atom=37 m_tot_mub_per_fu=0.000 pbc="T T T"
In 0.000 0.000 0.000
In 0.000 5.595 1.674
In 4.846 2.798 1.674
Pb -1.507 2.610 1.674
Pb -3.121 5.405 0.000
Pb 3.014 0.000 1.674
Pb 1.725 2.988 0.000
Pb 6.241 0.000 0.000
Pb 3.339 5.783 1.674

***

Entry 4:
4
Lattice="1.798 1.038 10.954 -1.798 1.038 10.954 0.000 -2.077 10.954" Properties=species:S:1:pos:R:3 comment="PBE Sm2SnBr, relaxed" polymorph_energy_kcal_per_mol_atoms=9.17 m_tot_mub_per_fu=0.000 e_form_raw_ev_per_atom=-0.490 pbc="T T T"
Sm 0.000 0.000 3.114
Sm 0.000 0.000 29.748
Sn 0.000 0.000 0.000
Br 0.000 0.000 16.431

***

Entry 5:
5
Lattice="-2.193 2.193 5.358 2.193 -2.193 5.358 2.193 2.193 -5.358" Properties=species:S:1:pos:R:3 comment="PBE YTaNbOs2, relaxed" ef_mev_per_atom=-284 m_tot_mub_per_fu=0.000 pbc="T T T"
Y 0.000 0.000 0.000
Ta 2.193 0.000 2.679
Nb 0.000 2.193 2.679
Os 0.000 0.000 4.093
Os 0.000 0.000 6.624

***

Entry 6:
12
Lattice="-2.255 3.221 6.760 2.255 -3.221 6.760 2.255 3.221 -6.760" Properties=species:S:1:pos:R:3 comment="PBE MgSc5Ru6, relaxed" ef_mev_per_atom=-416 m_tot_mub_per_fu=0.000 pbc="T T T"
Mg 0.000 0.000 0.000
Sc 2.255 0.000 2.184
Sc 0.000 0.000 4.485
Sc 0.000 3.221 0.000
Sc 0.000 0.000 9.035
Sc 0.000 3.221 4.576
Ru 2.255 -1.598 4.503
Ru 2.255 1.644 0.000
Ru 0.000 1.623 2.257
Ru 2.255 1.598 4.503
Ru 0.000 1.577 6.760
Ru 0.000 4.819 2.257